1.
Computed, not measured: a geometry-optimized Li2ErWO6 structure at the GGA+U level of DFT.

Output
- Total magnetization: 2.08 μB/cell
- Space group: P2_1/c (14)
- ρ: 6.6 g cm⁻³
- Final energy: -6.807 eV/atom
- Calculated volume: 11.62 Å³/atom

The structure in POSCAR format:
```
Li2ErWO6
1.0
-4.040 -3.606 0.153
3.432 -3.762 1.944
-1.704 2.243 7.349
Er O Li W
2 12 4 2
direct
0.000 0.500 0.500
0.500 0.000 0.000
0.683 0.357 0.946
0.631 0.322 0.569
0.869 0.822 0.931
0.390 0.930 0.731
0.610 0.070 0.269
0.817 0.857 0.554
0.890 0.570 0.231
0.369 0.678 0.431
0.131 0.178 0.069
0.110 0.430 0.769
0.317 0.643 0.054
0.183 0.143 0.446
0.028 0.020 0.740
0.528 0.480 0.240
0.472 0.520 0.760
0.972 0.980 0.260
0.500 0.000 0.500
0.000 0.500 0.000
```

***

2.
Computed, not measured: a geometry-optimized LiEr2WO6 structure at the GGA+U level of DFT.

Output
- Total magnetization: 1.00 μB/cell
- Space group: P1 (1)
- ρ: 7.8 g cm⁻³
- Final energy: -7.636 eV/atom
- Calculated volume: 13.26 Å³/atom

The structure in POSCAR format:
```
LiEr2WO6
1.0
-3.685 4.110 0.526
-4.117 0.476 -3.638
-5.538 -1.361 1.795
O Er Li W
6 2 1 1
direct
0.583 0.230 0.231
0.958 0.587 0.231
0.239 0.964 0.221
0.119 0.425 0.766
0.697 0.125 0.755
0.418 0.686 0.770
0.531 0.518 0.420
0.012 0.025 0.937
0.782 0.779 0.653
0.323 0.322 0.031
```